# La2CS

A geometry-optimized La2CS structure (PBE, Alexandria).

Unit cell a=6.986 b=6.986 c=6.468 alpha=57.31 beta=57.31 gamma=90.00
Fractional positions:
S1 0.000 0.000 0.000
S2 0.750 0.250 0.500
C1 0.500 0.500 0.000
C2 0.250 0.750 0.500
La1 0.571 0.125 0.250
La2 0.179 0.625 0.250
La3 0.375 0.429 0.750
La4 0.875 0.821 0.750

Output
* final energy: -53.98 eV/cell
* uncorrected formation energy: -0.95 eV per atom
* total moment: 0.00 μB/f.u.